[1]
First-principles (GGA-PBE) data for a geometry-optimized Dy2Er3TmAs6 structure, as listed in the Alexandria database.

- Crystal system: monoclinic
- Density of states at the Fermi level: 1.831 states/eV/f.u.
- DFT total energy: -6.127 eV/atom
- Energy of formation: -1.52 eV per atom

a = 9.1463 Å, b = 9.1463 Å, c = 8.1804 Å
α = 102.90°, β = 102.90°, γ = 25.85°
Closest atoms and distances in Å follow each position.
Sites, in units of the cell vectors:
Dy: 0.1664 0.1664 0.3328  6 As 2.90-2.91
Dy: 0.8336 0.8336 0.6672  6 As 2.90-2.91
Er: 0.1669 0.1669 0.8335  6 As 2.88-2.90
Er: 0.5000 0.5000 0.5000  6 As 2.88-2.90
Er: 0.8331 0.8331 0.1665  6 As 2.88-2.90
Tm: 0.5000 0.5000 0.0000  6 As 2.88-2.89
As: 0.0007 0.0007 0.7513  3 Er 2.88-2.90, 2 Tm 2.89, 1 Dy 2.90
As: 0.3338 0.3338 0.4155  3 Er 2.88, 3 Dy 2.90-2.91
As: 0.3338 0.3338 0.9187  3 Er 2.88-2.90, 1 Tm 2.88, 2 Dy 2.90
As: 0.6662 0.6662 0.0813  3 Er 2.88-2.90, 1 Tm 2.88, 2 Dy 2.90
As: 0.6662 0.6662 0.5845  3 Er 2.88, 3 Dy 2.90-2.91
As: 0.9993 0.9993 0.2487  3 Er 2.88-2.90, 2 Tm 2.89, 1 Dy 2.90

[2]
First-principles (GGA-PBE) data for a geometry-optimized DyEr2Tm3As6 structure, as listed in the Alexandria database.

- Crystal system: monoclinic
- Density of states at the Fermi level: 1.839 states/eV/f.u.
- DFT total energy: -6.102 eV/atom
- Energy of formation: -1.52 eV per atom

a = 9.1170 Å, b = 9.1170 Å, c = 8.1544 Å
α = 102.89°, β = 102.89°, γ = 25.85°
Closest atoms and distances in Å follow each position.
Sites, in units of the cell vectors:
Dy: 0.0000 0.0000 0.0000  6 As 2.90
Er: 0.3332 0.3332 0.6666  6 As 2.89
Er: 0.6668 0.6668 0.3334  6 As 2.89
Tm: 0.0000 0.0000 0.5000  6 As 2.87-2.88
Tm: 0.3335 0.3335 0.1670  6 As 2.87-2.88
Tm: 0.6665 0.6665 0.8330  6 As 2.87-2.88
As: 0.1664 0.1664 0.5839  3 Tm 2.88, 3 Er 2.89
As: 0.1676 0.1676 0.0829  3 Tm 2.87-2.88, 2 Er 2.89, 1 Dy 2.90
As: 0.4998 0.4998 0.2524  3 Tm 2.87-2.88, 1 Er 2.89, 2 Dy 2.90
As: 0.5002 0.5002 0.7476  3 Tm 2.87-2.88, 1 Er 2.89, 2 Dy 2.90
As: 0.8324 0.8324 0.9171  3 Tm 2.87-2.88, 2 Er 2.89, 1 Dy 2.90
As: 0.8336 0.8336 0.4161  3 Tm 2.88, 3 Er 2.89

[3]
First-principles (GGA-PBE) data for a geometry-optimized DyEr3Tm2As6 structure, as listed in the Alexandria database.

- Crystal system: monoclinic
- Density of states at the Fermi level: 1.834 states/eV/f.u.
- DFT total energy: -6.111 eV/atom
- Energy of formation: -1.52 eV per atom

a = 9.1249 Å, b = 9.1249 Å, c = 8.1615 Å
α = 102.89°, β = 102.89°, γ = 25.85°
Closest atoms and distances in Å follow each position.
Sites, in units of the cell vectors:
Dy: 0.0000 0.0000 0.0000  6 As 2.90
Er: 0.0000 0.0000 0.5000  6 As 2.88-2.89
Er: 0.3336 0.3336 0.1671  6 As 2.88-2.89
Er: 0.6664 0.6664 0.8329  6 As 2.88-2.89
Tm: 0.3330 0.3330 0.6665  6 As 2.88
Tm: 0.6670 0.6670 0.3335  6 As 2.88
As: 0.1674 0.1674 0.0844  3 Er 2.88-2.89, 2 Tm 2.88, 1 Dy 2.90
As: 0.1669 0.1669 0.5824  3 Tm 2.88, 3 Er 2.89
As: 0.5005 0.5005 0.2519  3 Er 2.88-2.89, 1 Tm 2.88, 2 Dy 2.90
As: 0.4995 0.4995 0.7481  3 Er 2.88-2.89, 1 Tm 2.88, 2 Dy 2.90
As: 0.8331 0.8331 0.4176  3 Tm 2.88, 3 Er 2.89
As: 0.8326 0.8326 0.9156  3 Er 2.88-2.89, 2 Tm 2.88, 1 Dy 2.90

[4]
First-principles (GGA-PBE) data for a geometry-optimized Dy3Er2TmAs6 structure, as listed in the Alexandria database.

- Crystal system: monoclinic
- Density of states at the Fermi level: 1.832 states/eV/f.u.
- DFT total energy: -6.134 eV/atom
- Energy of formation: -1.53 eV per atom

a = 9.1583 Å, b = 9.1583 Å, c = 8.1910 Å
α = 102.89°, β = 102.89°, γ = 25.85°
Closest atoms and distances in Å follow each position.
Sites, in units of the cell vectors:
Dy: 0.0000 0.0000 0.0000  6 As 2.91
Dy: 0.3333 0.3333 0.6667  6 As 2.91
Dy: 0.6667 0.6667 0.3333  6 As 2.91
Er: 0.3334 0.3334 0.1669  6 As 2.89
Er: 0.6666 0.6666 0.8331  6 As 2.89
Tm: 0.0000 0.0000 0.5000  6 As 2.88
As: 0.1658 0.1658 0.5843  1 Tm 2.88, 2 Er 2.89, 3 Dy 2.91
As: 0.1672 0.1672 0.0819  3 Er 2.89, 3 Dy 2.91
As: 0.4995 0.4995 0.2522  2 Tm 2.88, 1 Er 2.89, 3 Dy 2.91
As: 0.5005 0.5005 0.7478  2 Tm 2.88, 1 Er 2.89, 3 Dy 2.91
As: 0.8328 0.8328 0.9181  3 Er 2.89, 3 Dy 2.91
As: 0.8342 0.8342 0.4157  1 Tm 2.88, 2 Er 2.89, 3 Dy 2.91

[5]
First-principles (GGA-PBE) data for a geometry-optimized Dy3Y2ErAs6 structure, as listed in the Alexandria database.

- Crystal system: monoclinic
- Density of states at the Fermi level: 1.834 states/eV/f.u.
- DFT total energy: -6.473 eV/atom
- Energy of formation: -1.54 eV per atom

a = 9.1989 Å, b = 9.1989 Å, c = 8.2272 Å
α = 102.90°, β = 102.90°, γ = 25.85°
Closest atoms and distances in Å follow each position.
Sites, in units of the cell vectors:
Dy: 0.0000 0.0000 0.0000  6 As 2.91-2.92
Dy: 0.3332 0.3332 0.6666  6 As 2.91-2.92
Dy: 0.6668 0.6668 0.3334  6 As 2.91-2.92
Y: 0.3335 0.3335 0.1670  6 As 2.91-2.92
Y: 0.6665 0.6665 0.8330  6 As 2.91-2.92
Er: 0.0000 0.0000 0.5000  6 As 2.90
As: 0.1660 0.1660 0.5824  1 Er 2.90, 3 Dy 2.91-2.92, 2 Y 2.91
As: 0.1665 0.1665 0.0836  3 Dy 2.91, 3 Y 2.91-2.92
As: 0.5003 0.5003 0.2518  2 Er 2.90, 3 Dy 2.91-2.92, 1 Y 2.91
As: 0.4997 0.4997 0.7482  2 Er 2.90, 3 Dy 2.91-2.92, 1 Y 2.91
As: 0.8335 0.8335 0.9164  3 Dy 2.91, 3 Y 2.91-2.92
As: 0.8340 0.8340 0.4176  1 Er 2.90, 3 Dy 2.91-2.92, 2 Y 2.91

[6]
First-principles (GGA-PBE) data for a geometry-optimized Dy2YEr3As6 structure, as listed in the Alexandria database.

- Crystal system: monoclinic
- Density of states at the Fermi level: 1.833 states/eV/f.u.
- DFT total energy: -6.302 eV/atom
- Energy of formation: -1.53 eV per atom

a = 9.1687 Å, b = 9.1687 Å, c = 8.2008 Å
α = 102.90°, β = 102.90°, γ = 25.85°
Closest atoms and distances in Å follow each position.
Sites, in units of the cell vectors:
Dy: 0.1667 0.1667 0.3332  6 As 2.91
Dy: 0.8333 0.8333 0.6668  6 As 2.91
Y: 0.5000 0.5000 0.0000  6 As 2.91
Er: 0.1666 0.1666 0.8332  6 As 2.89
Er: 0.5000 0.5000 0.5000  6 As 2.89
Er: 0.8334 0.8334 0.1668  6 As 2.89
As: 0.0005 0.0005 0.7482  3 Er 2.89, 1 Dy 2.91, 2 Y 2.91
As: 0.3326 0.3326 0.9180  3 Er 2.89, 2 Dy 2.91, 1 Y 2.91
As: 0.3338 0.3338 0.4155  3 Er 2.89, 3 Dy 2.91
As: 0.6662 0.6662 0.5845  3 Er 2.89, 3 Dy 2.91
As: 0.6674 0.6674 0.0820  3 Er 2.89, 2 Dy 2.91, 1 Y 2.91
As: 0.9995 0.9995 0.2518  3 Er 2.89, 1 Dy 2.91, 2 Y 2.91

[7]
First-principles (GGA-PBE) data for a geometry-optimized DyYEr2As4 structure, as listed in the Alexandria database.

- Crystal system: monoclinic
- Density of states at the Fermi level: 1.035 states/eV/f.u.
- DFT total energy: -6.382 eV/atom
- Energy of formation: -1.53 eV per atom

a = 7.1029 Å, b = 4.1031 Å, c = 7.1036 Å
α = 90.00°, β = 109.46°, γ = 90.00°
Closest atoms and distances in Å follow each position.
Sites, in units of the cell vectors:
Dy: 0.0000 0.0000 0.0000  6 As 2.91
Y: 0.0000 0.5000 0.5000  6 As 2.91
Er: 0.5000 0.0000 0.5000  6 As 2.89
Er: 0.5000 0.5000 0.0000  6 As 2.89
As: 0.2525 0.5000 0.2506  3 Er 2.89, 2 Dy 2.91, 1 Y 2.91
As: 0.2528 0.0000 0.7512  3 Er 2.89, 1 Dy 2.91, 2 Y 2.91
As: 0.7472 0.0000 0.2488  3 Er 2.89, 1 Dy 2.91, 2 Y 2.91
As: 0.7475 0.5000 0.7494  3 Er 2.89, 2 Dy 2.91, 1 Y 2.91

[8]
First-principles (GGA-PBE) data for a geometry-optimized DyY2ErAs4 structure, as listed in the Alexandria database.

- Crystal system: monoclinic
- Density of states at the Fermi level: 1.019 states/eV/f.u.
- DFT total energy: -6.629 eV/atom
- Energy of formation: -1.54 eV per atom

a = 7.1213 Å, b = 4.1133 Å, c = 7.1218 Å
α = 90.00°, β = 109.46°, γ = 90.00°
Closest atoms and distances in Å follow each position.
Sites, in units of the cell vectors:
Dy: 0.0000 0.0000 0.0000  6 As 2.90-2.91
Y: 0.0000 0.5000 0.5000  6 As 2.92
Y: 0.5000 0.0000 0.5000  6 As 2.91
Er: 0.5000 0.5000 0.0000  6 As 2.90
As: 0.2506 0.5000 0.2485  1 Er 2.90, 2 Dy 2.91, 3 Y 2.91-2.92
As: 0.2518 0.0000 0.7522  2 Er 2.90, 1 Dy 2.90, 3 Y 2.91-2.92
As: 0.7482 0.0000 0.2478  2 Er 2.90, 1 Dy 2.90, 3 Y 2.91-2.92
As: 0.7494 0.5000 0.7515  1 Er 2.90, 2 Dy 2.91, 3 Y 2.91-2.92

- What is the energy of formation in the third record?
  -1.52 eV per atom